[1]
VASP calculation (PBE) on an optimized crystal structure of Tb2DyI6.

The structure in POSCAR format:
```
Tb2DyI6
1.0
8.042 -2.039 0.000
8.042 2.039 0.000
-6.359 0.000 11.201
Tb Dy I
2 1 6
Direct
0.173 0.173 0.288
0.827 0.827 0.712
0.500 0.500 0.000
0.166 0.166 0.542
0.284 0.284 0.870
0.488 0.488 0.757
0.512 0.512 0.243
0.716 0.716 0.130
0.834 0.834 0.458
```

As for the uncorrected formation energy: -1164 meV/atom.

[2]
VASP calculation (PBE) on an optimized crystal structure of TbDyI6.

The structure in POSCAR format:
```
TbDyI6
1.0
3.815 2.203 6.885
-3.815 2.203 6.885
0.000 -4.405 6.885
Tb Dy I
1 1 6
Direct
0.000 0.000 0.000
0.500 0.500 0.500
0.091 0.410 0.749
0.251 0.909 0.590
0.410 0.749 0.091
0.590 0.251 0.909
0.749 0.091 0.410
0.909 0.590 0.251
```

As for the uncorrected formation energy: -1329 meV/atom. The polymorph energy (0 for the lowest one) is 25 meV/atom.

[3]
VASP calculation (PBE) on an optimized crystal structure of TbDy2I.

The structure in POSCAR format:
```
TbDy2I
1.0
1.799 1.038 11.703
-1.799 1.038 11.703
0.000 -2.077 11.703
Tb Dy I
1 2 1
Direct
0.000 0.000 0.000
0.096 0.096 0.096
0.904 0.904 0.904
0.500 0.500 0.500
```

As for the uncorrected formation energy: -8 meV/atom. The polymorph energy (0 for the lowest one) is 327 meV/atom.

[4]
VASP calculation (PBE) on an optimized crystal structure of TbDyI2.

The structure in POSCAR format:
```
TbDyI2
1.0
1.918 1.107 10.675
-1.918 1.107 10.675
0.000 -2.214 10.675
Tb Dy I
1 1 2
Direct
0.000 0.000 0.000
0.500 0.500 0.500
0.098 0.098 0.098
0.902 0.902 0.902
```

As for the uncorrected formation energy: -632 meV/atom.

[5]
VASP calculation (PBE) on an optimized crystal structure of Tb2DyI.

The structure in POSCAR format:
```
Tb2DyI
1.0
3.639 0.000 0.000
0.000 3.639 0.000
0.000 0.000 9.520
Tb Dy I
2 1 1
Direct
0.000 0.000 0.244
0.000 0.000 0.756
0.500 0.500 0.500
0.500 0.500 0.000
```

As for the uncorrected formation energy: -291 meV/atom. The polymorph energy (0 for the lowest one) is 57 meV/atom.

[6]
VASP calculation (PBE) on an optimized crystal structure of TbDyI.

The structure in POSCAR format:
```
TbDyI
1.0
3.831 0.000 0.000
-1.915 3.318 0.000
0.000 0.000 7.559
Tb Dy I
1 1 1
Direct
0.000 0.000 0.000
0.333 0.667 0.651
0.667 0.333 0.326
```

As for the uncorrected formation energy: -516 meV/atom. The polymorph energy (0 for the lowest one) is 0 meV/atom.